1.
The following is a DFT calculation (PBE) of a relaxed Ba2Li2Hf crystal.

a = 6.2969 Å, b = 6.2969 Å, c = 8.6850 Å
α = 90.00°, β = 90.00°, γ = 90.00°
Closest atoms and distances in Å follow each position.
Space group I4/mmm (No. 139)
Asymmetric unit:
Ba: 0.0000 0.5000 0.2500 (multiplicity 4)  4 Li 3.30
Li: 0.0000 0.0000 0.1371 (multiplicity 4)  1 Li 2.38
Hf: 0.0000 0.0000 0.5000 (multiplicity 2)  2 Li 3.15

Its formation energy is 641 meV per atom. The value obtained for the energy above the most stable polymorph in this dataset is 80.8 meV per atom. The calculation puts the theoretical density at 4.5 g/cm3.

=====

2.
The following is a DFT calculation (PBE) of a relaxed ZrTlGe3 crystal.

a = 5.1776 Å, b = 5.1776 Å, c = 5.1776 Å
α = 90.00°, β = 90.00°, γ = 90.00°
Closest atoms and distances in Å follow each position.
Space group Pm-3m (No. 221)
Asymmetric unit:
Zr: 0.0000 0.0000 0.0000 (multiplicity 1)  12 Ge 3.66
Tl: 0.5000 0.5000 0.5000 (multiplicity 1)  6 Ge 2.59
Ge: 0.0000 0.5000 0.5000 (multiplicity 3)  2 Tl 2.59

Its formation energy is 1181 meV per atom. The value obtained for the energy above the most stable polymorph in this dataset is 918.3 meV per atom. The calculation puts the theoretical density at 6.1 g/cm3.

=====

3.
The following is a DFT calculation (PBE) of a relaxed KHg8Bi2 crystal.

a = 13.8735 Å, b = 6.6477 Å, c = 7.7331 Å
α = 90.00°, β = 108.27°, γ = 90.00°
Closest atoms and distances in Å follow each position.
Space group C2/m (No. 12)
Asymmetric unit:
K: 0.0000 0.0000 0.0000 (multiplicity 2)  10 Hg 3.52-3.63
Hg: 0.0598 0.5000 0.1911 (multiplicity 4)  3 Hg 2.90-3.13, 1 Bi 2.95
Hg: 0.0895 0.2380 0.6734 (multiplicity 8)  5 Hg 3.03-3.27, 1 Bi 3.32
Hg: 0.2410 0.5000 0.9996 (multiplicity 4)  7 Hg 3.24-3.33, 1 K 3.59
Bi: 0.2453 0.5000 0.5103 (multiplicity 4)  1 Hg 2.95

Its formation energy is -32 meV per atom. The calculation puts the theoretical density at 10.1 g/cm3.